No. 1
DFT (PBE+U) results for crystalline Er3Mo5O12 at its relaxed geometry.

Structure (POSCAR):
```
Er3Mo5O12
1.0
-1.414 -5.032 10.078
-8.996 -2.132 -6.590
9.373 -4.044 -4.967
Er O Mo
12 48 20
direct
0.125 0.250 0.875
0.250 0.625 0.875
0.875 0.125 0.250
0.875 0.750 0.125
0.375 0.625 0.250
0.750 0.875 0.625
0.750 0.375 0.125
0.625 0.250 0.375
0.250 0.125 0.375
0.375 0.750 0.625
0.125 0.875 0.750
0.625 0.375 0.750
0.566 0.856 0.397
0.397 0.041 0.331
0.790 0.331 0.934
0.959 0.356 0.290
0.434 0.144 0.603
0.290 0.434 0.831
0.669 0.459 0.603
0.210 0.541 0.644
0.066 0.897 0.356
0.831 0.934 0.290
0.103 0.169 0.459
0.934 0.831 0.790
0.710 0.566 0.169
0.356 0.959 0.790
0.041 0.644 0.710
0.541 0.210 0.144
0.566 0.710 0.669
0.603 0.644 0.434
0.144 0.434 0.103
0.644 0.041 0.210
0.541 0.331 0.897
0.603 0.959 0.669
0.856 0.290 0.459
0.331 0.541 0.397
0.669 0.210 0.566
0.897 0.831 0.541
0.644 0.603 0.934
0.103 0.934 0.144
0.459 0.790 0.856
0.897 0.066 0.856
0.356 0.397 0.066
0.434 0.290 0.331
0.290 0.856 0.959
0.459 0.669 0.103
0.041 0.397 0.831
0.169 0.066 0.710
0.397 0.356 0.566
0.066 0.169 0.210
0.710 0.144 0.041
0.210 0.669 0.066
0.169 0.103 0.959
0.831 0.897 0.041
0.959 0.603 0.169
0.790 0.459 0.356
0.856 0.566 0.897
0.144 0.710 0.541
0.934 0.103 0.644
0.331 0.790 0.434
0.375 0.125 0.750
0.375 0.250 0.125
0.000 0.500 0.000
0.250 0.875 0.125
0.000 0.000 0.000
0.125 0.750 0.375
0.500 0.000 0.000
0.750 0.625 0.375
0.750 0.125 0.875
0.875 0.625 0.750
0.875 0.250 0.625
0.000 0.000 0.500
0.625 0.750 0.875
0.625 0.875 0.250
0.000 0.500 0.500
0.500 0.500 0.000
0.500 0.000 0.500
0.500 0.500 0.500
0.250 0.375 0.625
0.125 0.375 0.250
```

Values from the calculation:
Space group: Ia-3d, No. 230
Magnetic moment, μB/cell: 60.00
Crystal system: cubic

No. 2
DFT (PBE+U) results for crystalline Er5Mo2O12 at its relaxed geometry.

Structure (POSCAR):
```
Er5Mo2O12
1.0
-4.660 -1.448 4.707
0.174 -4.696 4.887
2.131 3.516 6.196
O Er Mo
12 5 2
direct
0.902 0.405 0.428
0.500 0.500 0.812
0.431 0.903 0.913
0.988 0.988 0.804
0.098 0.595 0.572
0.097 0.569 0.087
0.595 0.098 0.572
0.569 0.097 0.087
0.405 0.902 0.428
0.903 0.431 0.913
0.012 0.012 0.196
0.500 0.500 0.188
0.312 0.312 0.821
0.688 0.688 0.179
0.697 0.697 0.638
0.303 0.303 0.362
0.000 0.000 0.500
0.772 0.228 0.000
0.228 0.772 0.000
```

Values from the calculation:
Space group: C2/m, No. 12
Magnetic moment, μB/cell: 1.00
Crystal system: monoclinic

No. 3
DFT (PBE+U) results for crystalline Er3MoO7 at its relaxed geometry.

Structure (POSCAR):
```
Er3MoO7
1.0
6.425 0.086 0.000
-2.145 6.057 0.000
0.000 0.000 7.405
Er O Mo
6 14 2
direct
0.536 0.001 0.256
0.468 0.468 0.500
0.999 0.464 0.244
0.532 0.532 0.000
0.464 0.999 0.756
0.001 0.536 0.744
0.084 0.329 0.526
0.059 0.314 0.962
0.916 0.671 0.026
0.363 0.637 0.750
0.329 0.084 0.474
0.077 0.923 0.750
0.314 0.059 0.038
0.637 0.363 0.250
0.631 0.369 0.750
0.686 0.941 0.538
0.369 0.631 0.250
0.923 0.077 0.250
0.941 0.686 0.462
0.671 0.916 0.974
0.002 0.002 0.000
0.998 0.998 0.500
```

Values from the calculation:
Space group: C222_1, No. 20
Magnetic moment, μB/cell: 2.00
Crystal system: orthorhombic

No. 4
DFT (PBE+U) results for crystalline ErMoO4 at its relaxed geometry.

Structure (POSCAR):
```
ErMoO4
1.0
5.000 0.000 0.000
0.000 5.847 0.123
0.000 -2.209 5.356
Mo Er O
2 2 8
direct
0.500 0.500 0.000
0.000 0.000 0.000
0.000 0.500 0.500
0.500 0.000 0.500
0.785 0.678 0.871
0.667 0.622 0.321
0.715 0.178 0.871
0.285 0.822 0.129
0.215 0.322 0.129
0.333 0.378 0.679
0.167 0.878 0.679
0.833 0.122 0.321
```

Values from the calculation:
Space group: P2_1/c, No. 14
Magnetic moment, μB/cell: 2.00
Crystal system: monoclinic

No. 5
DFT (PBE+U) results for crystalline Er2Mo2O7 at its relaxed geometry.

Structure (POSCAR):
```
Er2Mo2O7
1.0
-6.984 -1.310 -1.759
-2.128 -6.787 -1.731
-4.283 -3.774 4.583
Mo O Er
4 14 4
direct
0.625 0.125 0.125
0.125 0.625 0.125
0.125 0.125 0.625
0.125 0.125 0.125
0.465 0.035 0.035
0.035 0.465 0.465
0.750 0.750 0.750
0.785 0.785 0.215
0.465 0.465 0.035
0.785 0.215 0.215
0.500 0.500 0.500
0.035 0.035 0.465
0.785 0.215 0.785
0.215 0.785 0.785
0.465 0.035 0.465
0.215 0.785 0.215
0.215 0.215 0.785
0.035 0.465 0.035
0.125 0.625 0.625
0.625 0.625 0.125
0.625 0.125 0.625
0.625 0.625 0.625
```

Values from the calculation:
Space group: Fd-3m, No. 227
DOS(E_F), states/eV per cell: 4.2
Magnetic moment, μB/cell: 8.00
Crystal system: cubic

No. 6
DFT (PBE+U) results for crystalline Er2MoO6 at its relaxed geometry.

Structure (POSCAR):
```
Er2MoO6
1.0
4.974 0.000 0.000
0.000 4.974 0.000
0.000 0.000 9.889
O Er Mo
12 4 2
direct
0.186 0.814 0.147
0.186 0.814 0.853
0.686 0.686 0.353
0.314 0.314 0.647
0.814 0.186 0.853
0.278 0.278 0.000
0.778 0.222 0.500
0.222 0.778 0.500
0.722 0.722 0.000
0.314 0.314 0.353
0.814 0.186 0.147
0.686 0.686 0.647
0.000 0.000 0.332
0.500 0.500 0.168
0.000 0.000 0.668
0.500 0.500 0.832
0.500 0.500 0.500
0.000 0.000 0.000
```

Values from the calculation:
Space group: P4_2/mnm, No. 136
DOS(E_F), states/eV per cell: 0.0
Magnetic moment, μB/cell: 0.00
Crystal system: tetragonal

Total DFT energy (no corrections) readings, ordered: -7.56 -8.06 -8.09 -7.73 -7.85 -7.84 eV/atom